PBE Ca2TbCeTe4, relaxed; E = -38.82 eV/cell; N(E_F) = 1.170 states/eV/atom
1.0
7.679 0.000 0.000
0.000 4.435 0.000
-2.561 0.000 7.428
Ca Tb Ce Te
2 1 1 4
Cartesian
0.000 0.000 0.000
3.839 2.217 0.000
-1.280 2.217 3.714
2.559 0.000 3.714
-0.041 0.000 5.563
1.238 2.217 1.834
5.159 0.000 1.865
3.880 2.217 5.594

PBE Ca3Tb3CeTe8, relaxed; E = -73.02 eV/cell; N(E_F) = 0.783 states/eV/atom
1.0
4.405 2.543 7.346
-4.405 2.543 7.346
0.000 -5.086 7.346
Ca Tb Ce Te
3 3 1 8
Cartesian
-2.202 -1.271 7.346
-2.202 1.271 14.692
0.000 2.543 7.346
-4.405 0.000 11.019
-2.202 1.271 3.673
2.202 1.271 3.673
0.000 0.000 11.019
-2.275 -1.313 12.859
0.000 -2.627 9.179
-2.275 1.313 9.179
0.000 0.000 5.477
0.000 0.000 16.561
2.275 -1.313 12.859
0.000 2.627 12.859
2.275 1.313 9.179

PBE Ca4Tb3CeTe8, relaxed; E = -76.37 eV/cell; N(E_F) = 0.749 states/eV/atom
1.0
4.416 2.550 7.393
-4.416 2.550 7.393
0.000 -5.100 7.393
Ca Tb Ce Te
4 3 1 8
Cartesian
0.000 0.000 0.000
-2.208 -1.275 7.393
-2.208 1.275 14.786
0.000 2.550 7.393
-4.416 0.000 11.089
-2.208 1.275 3.696
2.208 1.275 3.696
0.000 0.000 11.089
-2.243 -1.295 12.936
0.000 -2.590 9.243
-2.243 1.295 9.243
0.000 0.000 5.512
0.000 0.000 16.667
2.243 -1.295 12.936
0.000 2.590 12.936
2.243 1.295 9.243